# 1
DFT (GGA-PBE) results for a relaxed TmGaTe crystal.

Values from the calculation:
The space group is F-43m, No. 216. The value obtained for the excess energy over the best structure of this formula in the dataset is 0.0 meV per atom. For the total magnetization, the calculation gives 0.007 μB per cell.

Cell lengths 4.9891, 4.9891, 4.9891 Å; angles 60.00, 60.00, 60.00 degrees
Fractional coordinates of all 3 atoms:
1 Ga 0.2500 0.2500 0.2500
2 Te 0.7500 0.7500 0.7500
3 Tm 0.0000 0.0000 0.0000

=====

# 2
DFT (GGA-PBE) results for a relaxed MgTaSn crystal.

Values from the calculation:
The space group is F-43m, No. 216. For the total magnetization, the calculation gives 1.918 μB per cell. For the energy, the calculation gives -5.125 eV per atom.

Cell lengths 4.6692, 4.6692, 4.6692 Å; angles 60.00, 60.00, 60.00 degrees
Site moments in Bohr magnetons follow the coordinates.
Fractional coordinates of all 3 atoms:
1 Ta 0.0000 0.0000 0.0000  1.26
2 Sn 0.2500 0.2500 0.2500  0.01
3 Mg 0.5000 0.5000 0.5000  0.00

=====

# 3
DFT (GGA-PBE) results for a relaxed LaNd2 crystal.

Values from the calculation:
The space group is Fd-3m, No. 227. For the total magnetization, the calculation gives 0.385 μB per cell. The energy of formation from the pure elements is 0.220 eV per atom.

Cell lengths 6.7836, 6.7836, 6.7836 Å; angles 60.00, 60.00, 60.00 degrees
Fractional coordinates of all 6 atoms:
1 Nd 0.6250 0.1250 0.6250
2 Nd 0.6250 0.6250 0.1250
3 Nd 0.1250 0.6250 0.6250
4 Nd 0.6250 0.6250 0.6250
5 La 0.2500 0.2500 0.2500
6 La 0.0000 0.0000 0.0000

=====

# 4
DFT (GGA-PBE) results for a relaxed HoGeAsO crystal.

Values from the calculation:
The space group is P4/nmm, No. 129. The value obtained for the excess energy over the best structure of this formula in the dataset is 0.0 meV per atom. For the total magnetization, the calculation gives 0.015 μB per cell.

Cell lengths 3.9730, 3.9730, 9.5298 Å; angles 90.00, 90.00, 90.00 degrees
Fractional coordinates of all 8 atoms:
1 Ge 0.0000 0.0000 0.5000
2 Ge 0.5000 0.5000 0.5000
3 As 0.0000 0.5000 0.2910
4 As 0.5000 0.0000 0.7090
5 O 0.0000 0.0000 0.0000
6 O 0.5000 0.5000 0.0000
7 Ho 0.0000 0.5000 0.8897
8 Ho 0.5000 0.0000 0.1103

=====

# 5
DFT (GGA-PBE) results for a relaxed TcMoPd crystal.

Values from the calculation:
The space group is F-43m, No. 216. The value obtained for the excess energy over the best structure of this formula in the dataset is 0.0 meV per atom. For the total magnetization, the calculation gives 0.006 μB per cell. The energy of formation from the pure elements is 0.638 eV per atom.

Cell lengths 4.2246, 4.2246, 4.2246 Å; angles 60.00, 60.00, 60.00 degrees
Fractional coordinates of all 3 atoms:
1 Pd 0.2500 0.2500 0.2500
2 Tc 0.7500 0.7500 0.7500
3 Mo 0.0000 0.0000 0.0000

=====

# 6
DFT (GGA-PBE) results for a relaxed LaMgAlPt crystal.

Values from the calculation:
The space group is C2/m, No. 12. The value obtained for the excess energy over the best structure of this formula in the dataset is 11.9 meV per atom. For the total magnetization, the calculation gives 0.002 μB per cell.

Cell lengths 5.6908, 5.6908, 7.7952 Å; angles 90.62, 90.62, 45.19 degrees
Fractional coordinates of all 8 atoms:
1 La 0.9398 0.9398 0.2368
2 La 0.0602 0.0602 0.7632
3 Al 0.3421 0.3421 0.9405
4 Al 0.6579 0.6579 0.0595
5 Pt 0.2216 0.2216 0.2276
6 Pt 0.7784 0.7784 0.7724
7 Mg 0.6560 0.6560 0.4456
8 Mg 0.3440 0.3440 0.5544